{"formula": "HoAlGe", "functional": "GGA-PBE", "state": "optimized geometry", "lattice_angstrom": [[-3.3265, 1.1919, -6.6239], [-4.1374, -0.4775, 6.2464], [0.3549, 3.9934, 0.5403]], "species": ["Al", "Al", "Al", "Ge", "Ge", "Ge", "Ho", "Ho", "Ho"], "frac_coords": [[0.5961, 0.0000, 0.0000], [0.4039, 0.4039, 0.0000], [0.0000, 0.5961, 0.0000], [0.0000, 0.0000, 0.0000], [0.6667, 0.3333, 0.5000], [0.3333, 0.6667, 0.5000], [0.2761, 0.0000, 0.5000], [0.0000, 0.2761, 0.5000], [0.7239, 0.7239, 0.5000]], "sg": "P-62m (189)", "e_tot_ev_per_atom": -4.60}